## CuN (GGA-PBE)

Data for CuN after structural relaxation.

Values from the calculation:
The uncorrected energy is -10.43 eV/f.u. The raw formation energy is 192 kJ/mol of formula units. The distance to the lowest polymorph of the same formula comes out at 617.1 meV per atom. As for the crystal system: tetragonal. The total magnetic moment is 0.000 μB/atom.

```
data_CuN
_cell_length_a 5.363
_cell_length_b 5.363
_cell_length_c 3.162
_cell_angle_alpha 90.00
_cell_angle_beta 90.00
_cell_angle_gamma 90.00
_symmetry_space_group_name_H-M 'P 1'
_symmetry_Int_Tables_number 1
_symmetry_space_group_name_Hall 'P 1'
loop_
_atom_site_label
_atom_site_fract_x
_atom_site_fract_y
_atom_site_fract_z
_atom_site_occupancy
Cu1 0.166 0.166 0.000 1
Cu2 0.334 0.666 0.500 1
Cu3 0.666 0.334 0.500 1
Cu4 0.834 0.834 0.000 1
N1 0.196 0.804 0.000 1
N2 0.304 0.304 0.500 1
N3 0.696 0.696 0.500 1
N4 0.804 0.196 0.000 1
```

***

## ZrSiGe (GGA-PBE)

Data for ZrSiGe after structural relaxation.

Values from the calculation:
The uncorrected energy is -20.49 eV/f.u. The raw formation energy is -183 kJ/mol of formula units. The distance to the lowest polymorph of the same formula comes out at 0.0 meV per atom. As for the crystal system: orthorhombic. The total magnetic moment is 0.000 μB/atom.

```
data_ZrSiGe
_cell_length_a 7.725
_cell_length_b 7.725
_cell_length_c 3.748
_cell_angle_alpha 90.00
_cell_angle_beta 90.00
_cell_angle_gamma 151.65
_symmetry_space_group_name_H-M 'P 1'
_symmetry_Int_Tables_number 1
_symmetry_space_group_name_Hall 'P 1'
loop_
_atom_site_label
_atom_site_fract_x
_atom_site_fract_y
_atom_site_fract_z
_atom_site_occupancy
Zr1 0.102 0.898 0.750 1
Zr2 0.898 0.102 0.250 1
Si1 0.448 0.552 0.750 1
Si2 0.552 0.448 0.250 1
Ge1 0.250 0.750 0.250 1
Ge2 0.750 0.250 0.750 1
```

***

## CdCu2Pt (GGA-PBE)

Data for CdCu2Pt after structural relaxation.

Values from the calculation:
The uncorrected energy is -15.52 eV/f.u. As for the crystal system: orthorhombic. The total magnetic moment is 0.000 μB/atom. As for the formation energy: -36 kJ/mol of formula units.

```
data_CdCu2Pt
_cell_length_a 5.213
_cell_length_b 5.213
_cell_length_c 5.213
_cell_angle_alpha 146.77
_cell_angle_beta 129.45
_cell_angle_gamma 61.85
_symmetry_space_group_name_H-M 'P 1'
_symmetry_Int_Tables_number 1
_symmetry_space_group_name_Hall 'P 1'
loop_
_atom_site_label
_atom_site_fract_x
_atom_site_fract_y
_atom_site_fract_z
_atom_site_occupancy
Cd1 0.000 0.000 0.000 1
Cu1 0.256 0.756 0.500 1
Cu2 0.481 0.481 0.000 1
Pt1 0.728 0.228 0.500 1
```

***

## YCrTe2Mo (GGA-PBE)

Data for YCrTe2Mo after structural relaxation.

Values from the calculation:
The uncorrected energy is -31.69 eV/f.u. The raw formation energy is 146 kJ/mol of formula units. As for the crystal system: tetragonal. The total magnetic moment is 0.438 μB/atom.

```
data_YCrTe2Mo
_cell_length_a 5.378
_cell_length_b 5.378
_cell_length_c 4.598
_cell_angle_alpha 90.00
_cell_angle_beta 90.00
_cell_angle_gamma 90.00
_symmetry_space_group_name_H-M 'P 1'
_symmetry_Int_Tables_number 1
_symmetry_space_group_name_Hall 'P 1'
loop_
_atom_site_label
_atom_site_fract_x
_atom_site_fract_y
_atom_site_fract_z
_atom_site_occupancy
Y1 0.000 0.000 0.000 1
Cr1 0.500 0.500 0.000 1
Te1 0.000 0.500 0.500 1
Te2 0.500 0.000 0.500 1
Mo1 0.500 0.500 0.500 1
```

***

## Ho6TmS8 (GGA-PBE)

Data for Ho6TmS8 after structural relaxation.

Values from the calculation:
The uncorrected energy is -95.57 eV/f.u. The raw formation energy is -2953 kJ/mol of formula units. As for the crystal system: cubic. The total magnetic moment is 0.000 μB/atom.

```
data_Ho6TmS8
_cell_length_a 7.749
_cell_length_b 7.749
_cell_length_c 7.749
_cell_angle_alpha 60.00
_cell_angle_beta 60.00
_cell_angle_gamma 60.00
_symmetry_space_group_name_H-M 'P 1'
_symmetry_Int_Tables_number 1
_symmetry_space_group_name_Hall 'P 1'
loop_
_atom_site_label
_atom_site_fract_x
_atom_site_fract_y
_atom_site_fract_z
_atom_site_occupancy
Ho1 0.000 0.000 0.500 1
Ho2 0.000 0.500 0.000 1
Ho3 0.000 0.500 0.500 1
Ho4 0.500 0.000 0.000 1
Ho5 0.500 0.000 0.500 1
Ho6 0.500 0.500 0.000 1
Tm1 0.000 0.000 0.000 1
S1 0.249 0.249 0.751 1
S2 0.249 0.751 0.249 1
S3 0.249 0.751 0.751 1
S4 0.250 0.250 0.250 1
S5 0.750 0.750 0.750 1
S6 0.751 0.249 0.249 1
S7 0.751 0.249 0.751 1
S8 0.751 0.751 0.249 1
```

***

## PtC2 (GGA-PBE)

Data for PtC2 after structural relaxation.

Values from the calculation:
The uncorrected energy is -20.65 eV/f.u. The distance to the lowest polymorph of the same formula comes out at 957.1 meV per atom. As for the crystal system: hexagonal. The total magnetic moment is 0.000 μB/atom. As for the formation energy: 370 kJ/mol of formula units.

```
data_PtC2
_cell_length_a 3.091
_cell_length_b 3.091
_cell_length_c 3.855
_cell_angle_alpha 90.00
_cell_angle_beta 90.00
_cell_angle_gamma 120.00
_symmetry_space_group_name_H-M 'P 1'
_symmetry_Int_Tables_number 1
_symmetry_space_group_name_Hall 'P 1'
loop_
_atom_site_label
_atom_site_fract_x
_atom_site_fract_y
_atom_site_fract_z
_atom_site_occupancy
Pt1 0.000 0.000 0.000 1
C1 0.667 0.333 0.318 1
C2 0.667 0.333 0.682 1
```

***

## Cs6Se2S (GGA-PBE)

Data for Cs6Se2S after structural relaxation.

Values from the calculation:
The uncorrected energy is -24.96 eV/f.u. The raw formation energy is -844 kJ/mol of formula units. As for the crystal system: monoclinic. The total magnetic moment is 0.000 μB/atom.

```
data_Cs6Se2S
_cell_length_a 6.705
_cell_length_b 10.007
_cell_length_c 15.121
_cell_angle_alpha 90.00
_cell_angle_beta 114.20
_cell_angle_gamma 90.00
_symmetry_space_group_name_H-M 'P 1'
_symmetry_Int_Tables_number 1
_symmetry_space_group_name_Hall 'P 1'
loop_
_atom_site_label
_atom_site_fract_x
_atom_site_fract_y
_atom_site_fract_z
_atom_site_occupancy
Cs1 0.077 0.186 0.451 1
Cs2 0.077 0.314 0.951 1
Cs3 0.290 0.635 0.391 1
Cs4 0.290 0.865 0.891 1
Cs5 0.315 0.030 0.242 1
Cs6 0.315 0.470 0.742 1
Cs7 0.685 0.530 0.258 1
Cs8 0.685 0.970 0.758 1
Cs9 0.710 0.135 0.109 1
Cs10 0.710 0.365 0.609 1
Cs11 0.923 0.686 0.049 1
Cs12 0.923 0.814 0.549 1
Se1 0.135 0.111 0.701 1
Se2 0.135 0.389 0.201 1
Se3 0.865 0.611 0.799 1
Se4 0.865 0.889 0.299 1
S1 0.000 0.000 0.000 1
S2 0.000 0.500 0.500 1
```

***

## LiEuMgGa (GGA-PBE)

Data for LiEuMgGa after structural relaxation.

Values from the calculation:
The uncorrected energy is -17.94 eV/f.u. As for the crystal system: cubic. The total magnetic moment is 1.733 μB/atom. As for the formation energy: -109 kJ/mol of formula units.

```
data_LiEuMgGa
_cell_length_a 5.025
_cell_length_b 5.025
_cell_length_c 5.025
_cell_angle_alpha 60.00
_cell_angle_beta 60.00
_cell_angle_gamma 60.00
_symmetry_space_group_name_H-M 'P 1'
_symmetry_Int_Tables_number 1
_symmetry_space_group_name_Hall 'P 1'
loop_
_atom_site_label
_atom_site_fract_x
_atom_site_fract_y
_atom_site_fract_z
_atom_site_occupancy
Li1 0.000 0.000 0.000 1
Eu1 0.750 0.750 0.750 1
Mg1 0.250 0.250 0.250 1
Ga1 0.500 0.500 0.500 1
```

***

## BePbBr2 (GGA-PBE)

Data for BePbBr2 after structural relaxation.

Values from the calculation:
The uncorrected energy is -11.53 eV/f.u. The raw formation energy is -72 kJ/mol of formula units. The distance to the lowest polymorph of the same formula comes out at 239.3 meV per atom. As for the crystal system: orthorhombic. The total magnetic moment is 0.000 μB/atom.

```
data_BePbBr2
_cell_length_a 7.129
_cell_length_b 7.129
_cell_length_c 7.129
_cell_angle_alpha 153.54
_cell_angle_beta 125.21
_cell_angle_gamma 61.84
_symmetry_space_group_name_H-M 'P 1'
_symmetry_Int_Tables_number 1
_symmetry_space_group_name_Hall 'P 1'
loop_
_atom_site_label
_atom_site_fract_x
_atom_site_fract_y
_atom_site_fract_z
_atom_site_occupancy
Be1 0.000 0.000 0.000 1
Pb1 0.500 0.500 0.000 1
Br1 0.132 0.632 0.500 1
Br2 0.868 0.368 0.500 1
```

***

## RbSrAsCl6 (GGA-PBE)

Data for RbSrAsCl6 after structural relaxation.

Values from the calculation:
The uncorrected energy is -32.41 eV/f.u. The raw formation energy is -1354 kJ/mol of formula units. As for the crystal system: trigonal. The total magnetic moment is 0.000 μB/atom.

```
data_RbSrAsCl6
_cell_length_a 7.166
_cell_length_b 7.166
_cell_length_c 7.164
_cell_angle_alpha 90.00
_cell_angle_beta 90.00
_cell_angle_gamma 120.00
_symmetry_space_group_name_H-M 'P 1'
_symmetry_Int_Tables_number 1
_symmetry_space_group_name_Hall 'P 1'
loop_
_atom_site_label
_atom_site_fract_x
_atom_site_fract_y
_atom_site_fract_z
_atom_site_occupancy
Rb1 0.000 0.000 0.000 1
Sr1 0.333 0.667 0.500 1
As1 0.667 0.333 0.500 1
Cl1 0.388 0.039 0.707 1
Cl2 0.388 0.349 0.293 1
Cl3 0.651 0.039 0.293 1
Cl4 0.651 0.612 0.707 1
Cl5 0.961 0.349 0.707 1
Cl6 0.961 0.612 0.293 1
```

***

## Zr2SiTcNi (GGA-PBE)

Data for Zr2SiTcNi after structural relaxation.

Values from the calculation:
The uncorrected energy is -35.93 eV/f.u. The raw formation energy is 264 kJ/mol of formula units. As for the crystal system: tetragonal. The total magnetic moment is 0.104 μB/atom.

```
data_Zr2SiTcNi
_cell_length_a 4.922
_cell_length_b 4.922
_cell_length_c 4.311
_cell_angle_alpha 90.00
_cell_angle_beta 90.00
_cell_angle_gamma 90.00
_symmetry_space_group_name_H-M 'P 1'
_symmetry_Int_Tables_number 1
_symmetry_space_group_name_Hall 'P 1'
loop_
_atom_site_label
_atom_site_fract_x
_atom_site_fract_y
_atom_site_fract_z
_atom_site_occupancy
Zr1 0.000 0.500 0.000 1
Zr2 0.500 0.000 0.000 1
Si1 0.000 0.000 0.000 1
Tc1 0.000 0.000 0.500 1
Ni1 0.500 0.500 0.500 1
```

***

## Ce2PdI (GGA-PBE)

Data for Ce2PdI after structural relaxation.

Values from the calculation:
The uncorrected energy is -21.45 eV/f.u. The raw formation energy is -274 kJ/mol of formula units. As for the crystal system: trigonal. The total magnetic moment is 0.666 μB/atom.

```
data_Ce2PdI
_cell_length_a 8.582
_cell_length_b 8.582
_cell_length_c 8.582
_cell_angle_alpha 27.77
_cell_angle_beta 27.77
_cell_angle_gamma 27.77
_symmetry_space_group_name_H-M 'P 1'
_symmetry_Int_Tables_number 1
_symmetry_space_group_name_Hall 'P 1'
loop_
_atom_site_label
_atom_site_fract_x
_atom_site_fract_y
_atom_site_fract_z
_atom_site_occupancy
Ce1 0.000 0.000 0.000 1
Ce2 0.199 0.199 0.199 1
Pd1 0.600 0.600 0.600 1
I1 0.433 0.433 0.433 1
```